DFT (PBE-GGA) results for Ho5MgTl3 after structural relaxation.

Calculated values
The value obtained for the energy relative to the elements is -285 meV/atom.

Cell and atoms, written as POSCAR:
```
Ho5MgTl3
1.0
-5.771 2.063 2.520
-2.261 -8.757 1.991
4.551 5.135 6.219
Tl Ho Mg
6 10 2
Direct
0.250 0.000 0.362
0.750 0.638 0.000
0.250 0.638 0.638
0.250 0.362 0.000
0.750 0.362 0.362
0.750 0.000 0.638
0.000 0.667 0.333
0.250 0.000 0.700
0.500 0.667 0.333
0.750 0.700 0.700
0.750 0.000 0.300
0.750 0.300 0.000
0.500 0.333 0.667
0.250 0.700 0.000
0.000 0.333 0.667
0.250 0.300 0.300
0.500 0.000 0.000
0.000 0.000 0.000
```

=====

DFT (PBE-GGA) results for SmPuCu after structural relaxation.

Calculated values
The value obtained for the energy relative to the elements is 274 meV/atom. The calculation puts the energy relative to the lowest polymorph listed for this composition at 0.201 eV/atom.

Cell and atoms, written as POSCAR:
```
SmPuCu
1.0
3.308 0.000 0.000
0.000 3.469 0.000
-1.654 0.000 11.133
Pu Sm Cu
2 2 2
Direct
0.765 0.250 0.529
0.235 0.750 0.471
0.111 0.250 0.221
0.889 0.750 0.779
0.536 0.750 0.073
0.464 0.250 0.927
```